Entry 1:
Computed, not measured: a geometry-optimized Ba3P2 structure at the PBE-GGA level of DFT.

crystal system	tetragonal

a = 9.907 Å, b = 9.907 Å, c = 16.415 Å
α = 107.56°, β = 107.56°, γ = 90.00°
Fractional coordinates of all 40 atoms:
P: 0.648 0.026 0.576
P: 0.125 0.997 0.750
P: 0.664 0.664 0.328
P: 0.276 0.398 0.076
P: 0.247 0.875 0.250
P: 0.928 0.550 0.576
P: 0.602 0.200 0.924
P: 0.800 0.678 0.076
P: 0.336 0.336 0.672
P: 0.322 0.724 0.924
P: 0.003 0.375 0.250
P: 0.450 0.352 0.424
P: 0.974 0.072 0.424
P: 0.625 0.753 0.750
P: 0.586 0.086 0.172
P: 0.914 0.414 0.828
Ba: 0.103 0.686 0.039
Ba: 0.294 0.669 0.720
Ba: 0.301 0.176 0.220
Ba: 0.824 0.081 0.780
Ba: 0.646 0.897 0.961
Ba: 0.245 0.378 0.872
Ba: 0.314 0.064 0.461
Ba: 0.627 0.494 0.872
Ba: 0.956 0.699 0.780
Ba: 0.506 0.755 0.128
Ba: 0.622 0.373 0.128
Ba: 0.314 0.064 0.961
Ba: 0.604 0.686 0.539
Ba: 0.331 0.574 0.280
Ba: 0.936 0.354 0.039
Ba: 0.147 0.396 0.461
Ba: 0.623 0.372 0.628
Ba: 0.936 0.853 0.539
Ba: 0.628 0.995 0.372
Ba: 0.949 0.706 0.280
Ba: 0.005 0.256 0.628
Ba: 0.919 0.044 0.220
Ba: 0.744 0.377 0.372
Ba: 0.426 0.051 0.720

Entry 2:
Computed, not measured: a geometry-optimized Na3Tl5Hg structure at the PBE-GGA level of DFT.

crystal system	tetragonal

a = 9.061 Å, b = 9.061 Å, c = 9.213 Å
α = 119.46°, β = 119.46°, γ = 90.00°
Fractional coordinates of all 18 atoms:
Tl: 0.500 0.500 0.000
Tl: 0.337 0.837 0.273
Tl: 0.436 0.337 0.273
Tl: 0.000 0.000 0.000
Tl: 0.936 0.436 0.273
Tl: 0.663 0.163 0.727
Tl: 0.064 0.564 0.727
Tl: 0.564 0.663 0.727
Tl: 0.837 0.936 0.273
Tl: 0.163 0.064 0.727
Na: 0.888 0.612 0.000
Na: 0.250 0.250 0.500
Na: 0.750 0.750 0.500
Na: 0.612 0.112 0.000
Na: 0.388 0.888 0.000
Na: 0.112 0.388 0.000
Hg: 0.250 0.750 0.500
Hg: 0.750 0.250 0.500

Values for excess energy over the best structure of this formula in the dataset, meV/atom, ordered as above
0; 79